Record 1
Here is a geometry-optimized CeCu8Ag3 structure from Alexandria. Energies are from PBE.

The structure in CIF format:
```
data_CeCu8Ag3
_symmetry_space_group_name_H-M 'R 3 m'
_symmetry_Int_Tables_number 160
_symmetry_space_group_name_Hall 'R 3 -2"'
_cell_length_a 5.0300
_cell_length_b 5.0300
_cell_length_c 24.5781
_cell_angle_alpha 90.00
_cell_angle_beta 90.00
_cell_angle_gamma 120.00
loop_
_atom_site_label
_atom_site_fract_x
_atom_site_fract_y
_atom_site_fract_z
Ce1 0.0000 0.0000 0.0000
Cu1 0.0000 0.0000 0.3127
Cu2 0.0000 0.0000 0.8141
Cu3 0.0019 0.5010 0.0666
Cu4 0.1678 0.3356 0.8948
Ag1 0.0000 0.0000 0.1282
Ag2 0.0000 0.0000 0.5004
Ag3 0.0000 0.0000 0.6186
```

Record 2
Here is a geometry-optimized CeCuAg structure from Alexandria. Energies are from PBE.

The structure in CIF format:
```
data_CeCuAg
_symmetry_space_group_name_H-M 'P -6 m 2'
_symmetry_Int_Tables_number 187
_symmetry_space_group_name_Hall 'P -6 2'
_cell_length_a 4.6854
_cell_length_b 4.6854
_cell_length_c 3.2661
_cell_angle_alpha 90.00
_cell_angle_beta 90.00
_cell_angle_gamma 120.00
loop_
_atom_site_label
_atom_site_fract_x
_atom_site_fract_y
_atom_site_fract_z
Ce1 0.0000 0.0000 0.0000
Cu1 0.6667 0.3333 0.5000
Ag1 0.3333 0.6667 0.5000
```

Record 3
Here is a geometry-optimized Ce2CuAg structure from Alexandria. Energies are from PBE.

The structure in CIF format:
```
data_Ce2CuAg
_symmetry_space_group_name_H-M 'P 4/m m m'
_symmetry_Int_Tables_number 123
_symmetry_space_group_name_Hall '-P 4 2'
_cell_length_a 4.432
_cell_length_b 4.432
_cell_length_c 4.459
_cell_angle_alpha 90.00
_cell_angle_beta 90.00
_cell_angle_gamma 90.00
loop_
_atom_site_label
_atom_site_fract_x
_atom_site_fract_y
_atom_site_fract_z
Ce1 0.000 0.500 0.000
Cu1 0.000 0.000 0.500
Ag1 0.500 0.500 0.500
```

Record 4
Here is a geometry-optimized CeCu4Ag8 structure from Alexandria. Energies are from PBE.

The structure in CIF format:
```
data_CeCu4Ag8
_symmetry_space_group_name_H-M 'I 4/m m m'
_symmetry_Int_Tables_number 139
_symmetry_space_group_name_Hall '-I 4 2'
_cell_length_a 9.322
_cell_length_b 9.322
_cell_length_c 5.220
_cell_angle_alpha 90.00
_cell_angle_beta 90.00
_cell_angle_gamma 90.00
loop_
_atom_site_label
_atom_site_fract_x
_atom_site_fract_y
_atom_site_fract_z
Ce1 0.000 0.000 0.000
Cu1 0.250 0.250 0.250
Ag1 0.000 0.219 0.500
Ag2 0.000 0.348 0.000
```

Going through the records in order, we get Fermi-level density of states values of 8.4, 6.2, 8.8, 12.3 states/eV/f.u..
Going through the records in order, we get formation enthalpy at 0 K values of -0.02, -0.11, -0.01, 0.00 eV per atom.